1.
Compound: Tl2RhBr
Source: the Alexandria database
Functional: PBE-GGA
Structure: relaxed

Output
D(E_F) = 2.782 states/eV per cell
ΔE_f (raw) = -69 meV per atom
DFT total energy = -3.5085 eV per atom
volume = 28.8 Å³ per atom
ΔE to the lowest computed polymorph = 0 meV/atom

Lattice parameters (Å, degrees): 3.8331 3.8470 7.8081 90.00 90.00 90.00
Closest atoms and distances in Å follow each position.
Atoms (fractional coordinates):
Rh: 0.5000 0.5000 0.9085  5 Tl 2.69-2.73
Br: 0.0000 0.0000 0.4591  5 Tl 3.16-3.28
Tl: 0.5000 0.5000 0.2533  1 Rh 2.69
Tl: 0.0000 0.0000 0.8790  4 Rh 2.73

---

2.
Compound: MnFeCu4
Source: the Alexandria database
Functional: PBE-GGA
Structure: relaxed

Output
D(E_F) = 8.680 states/eV per cell
formation energy = 0.262 eV/atom
DFT total energy = -5.4071 eV per atom
volume = 12.9 Å³ per atom

Lattice parameters (Å, degrees): 4.7866 4.7866 4.7866 60.00 60.00 60.00
Closest atoms and distances in Å follow each position.
Atoms (fractional coordinates):
Cu: 0.3752 0.3752 0.3752  6 Cu 2.39-2.40
Cu: 0.8744 0.3752 0.3752  6 Cu 2.39-2.40
Cu: 0.3752 0.3752 0.8744  6 Cu 2.39-2.40
Cu: 0.3752 0.8744 0.3752  6 Cu 2.39-2.40
Mn: 0.0000 0.0000 0.0000  12 Cu 2.81, 4 Fe 2.93
Fe: 0.7500 0.7500 0.7500  12 Cu 2.81, 4 Mn 2.93

---

3.
Compound: Er2Sc3Cd2
Source: the Alexandria database
Functional: PBE-GGA
Structure: relaxed

Output
D(E_F) = 8.036 states/eV per cell
formation energy = -0.022 eV/atom
DFT total energy = -4.3009 eV per atom
volume = 24.8 Å³ per atom

Lattice parameters (Å, degrees): 4.8880 3.2416 11.2368 90.00 77.44 90.00
Closest atoms and distances in Å follow each position.
Atoms (fractional coordinates):
Sc: 0.0000 0.0000 0.0000  4 Sc 3.14-3.24, 8 Cd 3.29
Sc: 0.8567 0.0000 0.2865  3 Sc 3.14-3.24, 4 Er 3.28, 4 Cd 3.36
Sc: 0.1433 0.0000 0.7135  3 Sc 3.14-3.24, 4 Er 3.28, 4 Cd 3.36
Cd: 0.4318 0.5000 0.1365  3 Cd 2.99-3.24, 1 Er 3.11, 4 Sc 3.29
Cd: 0.5682 0.5000 0.8635  3 Cd 2.99-3.24, 1 Er 3.11, 4 Sc 3.29
Er: 0.2898 0.5000 0.4205  4 Er 3.00-3.24, 1 Cd 3.11, 4 Sc 3.28
Er: 0.7102 0.5000 0.5795  4 Er 3.00-3.24, 1 Cd 3.11, 4 Sc 3.28

---

4.
Compound: Ba2LiSn6
Source: the Alexandria database
Functional: PBE-GGA
Structure: relaxed

Output
D(E_F) = 3.230 states/eV per cell
formation energy = -0.463 eV/atom
DFT total energy = -3.7713 eV per atom
volume = 30.2 Å³ per atom

Lattice parameters (Å, degrees): 6.4637 6.9677 6.9683 120.00 90.00 90.00
Closest atoms and distances in Å follow each position.
Atoms (fractional coordinates):
Ba: 0.1607 0.3334 0.6667  12 Sn 3.66-3.79
Ba: 0.8393 0.6666 0.3333  12 Sn 3.66-3.79
Li: 0.0000 0.0000 0.0000  6 Sn 3.02
Sn: 0.3316 0.8234 0.1767  1 Li 3.02, 4 Sn 3.05-3.27
Sn: 0.6684 0.6467 0.8233  1 Li 3.02, 4 Sn 3.05-3.27
Sn: 0.6684 0.1766 0.8233  1 Li 3.02, 4 Sn 3.05-3.27
Sn: 0.6684 0.1768 0.3535  1 Li 3.02, 4 Sn 3.05-3.27
Sn: 0.3316 0.8232 0.6465  1 Li 3.02, 4 Sn 3.05-3.27
Sn: 0.3316 0.3533 0.1767  1 Li 3.02, 4 Sn 3.05-3.27

---

5.
Compound: SrMn2Fe
Source: the Alexandria database
Functional: PBE-GGA
Structure: relaxed

Output
D(E_F) = 4.974 states/eV per cell
formation energy = 0.773 eV/atom
DFT total energy = -6.3479 eV per atom
volume = 19.6 Å³ per atom

Lattice parameters (Å, degrees): 5.7110 5.7110 5.7110 147.95 126.60 63.65
Closest atoms and distances in Å follow each position.
Atoms (fractional coordinates):
Fe: 0.2500 0.7500 0.5000  4 Mn 2.55
Mn: 0.0432 0.0432 0.0000  2 Fe 2.55
Mn: 0.4568 0.4568 0.0000  2 Fe 2.55
Sr: 0.7500 0.2500 0.5000  4 Fe 3.01, 2 Sr 3.15, 8 Mn 3.25-3.26

---

6.
Compound: HfZr2NbGa
Source: the Alexandria database
Functional: PBE-GGA
Structure: relaxed

Output
D(E_F) = 4.597 states/eV per cell
formation energy = 0.916 eV/atom
DFT total energy = -7.1137 eV per atom
volume = 26.1 Å³ per atom

Lattice parameters (Å, degrees): 5.0753 5.0749 5.0753 90.00 90.00 90.00
Closest atoms and distances in Å follow each position.
Atoms (fractional coordinates):
Ga: 0.5000 0.5000 0.5000  8 Zr 3.59, 4 Hf 3.59
Zr: 0.0000 0.0000 0.5000  2 Nb 2.54
Zr: 0.5000 0.0000 0.0000  2 Nb 2.54
Nb: 0.0000 0.0000 0.0000  2 Hf 2.54, 4 Zr 2.54
Hf: 0.0000 0.5000 0.0000  2 Nb 2.54

---

Question: The highest volume belongs to which entry?
Answer: Ba2LiSn6

---

Question: What is the formula in the fifth record?
Answer: SrMn2Fe

---

Question: Which of these has the highest DFT total energy?
Answer: Tl2RhBr

---

Question: What is the formula in the first record?
Answer: Tl2RhBr